Entry 1:
Computed, not measured: a geometry-optimized NiTeP2 structure at the PBEsol level of DFT.

Computed properties:
* magnetization: 0.00 μB/atom
* V: 16.57 Å³ per atom
* density of states at the Fermi level: 1.9 states/eV/cell
* formation energy from raw total energies: 0.61 eV per formula unit

a b c (Å): 4.4174 4.4174 4.4174
angles (deg): 108.44 108.44 111.55
Last column: nearest neighbours and their distance in Å.
Fractional positions:
1 Te 0.5000 0.5000 0.0000  2 Ni 2.48, 4 P 2.58
2 P 0.5000 0.0000 0.5000  2 P 2.48, 2 Te 2.58, 2 Ni 2.58
3 Ni 0.0000 0.0000 0.0000  2 Te 2.48, 4 P 2.58
4 P 0.0000 0.5000 0.5000  2 P 2.48, 2 Ni 2.58, 2 Te 2.58

Entry 2:
Computed, not measured: a geometry-optimized Ni2TeP2 structure at the PBEsol level of DFT.

Computed properties:
* magnetization: 0.00 μB/atom
* V: 14.55 Å³ per atom
* density of states at the Fermi level: 3.3 states/eV/cell
* formation energy from raw total energies: -0.37 eV per formula unit

a b c (Å): 4.0211 4.0211 5.3232
angles (deg): 112.19 112.19 90.00
Last column: nearest neighbours and their distance in Å.
Fractional positions:
1 Ni 0.7500 0.2500 0.5000  4 P 2.29
2 P 0.3728 0.3728 0.7456  1 P 2.29, 4 Ni 2.29
3 P 0.6272 0.6272 0.2544  1 P 2.29, 4 Ni 2.29
4 Ni 0.2500 0.7500 0.5000  4 P 2.29
5 Te 0.0000 0.0000 0.0000  8 Ni 3.02, 10 P 3.07-3.36

Entry 3:
Computed, not measured: a geometry-optimized NiTeP2 structure at the PBEsol level of DFT.

Computed properties:
* magnetization: 0.00 μB/atom
* V: 18.69 Å³ per atom
* density of states at the Fermi level: 2.4 states/eV/cell
* formation energy from raw total energies: 0.41 eV per formula unit

a b c (Å): 2.8441 3.0923 8.4987
angles (deg): 90.00 90.00 90.00
Last column: nearest neighbours and their distance in Å.
Fractional positions:
1 P 0.0000 0.0000 0.6365  1 P 2.32, 4 Ni 2.40
2 P 0.0000 0.0000 0.3635  1 P 2.32, 4 Ni 2.40
3 Te 0.5000 0.5000 0.0000  4 Te 2.84-3.09
4 Ni 0.5000 0.5000 0.5000  8 P 2.40

Entry 4:
Computed, not measured: a geometry-optimized NiTeP structure at the PBEsol level of DFT.

Computed properties:
* magnetization: 0.00 μB/atom
* V: 18.00 Å³ per atom
* distance to the lowest polymorph of the same formula: 0 meV per atom
* density of states at the Fermi level: 1.5 states/eV/cell
* formation energy from raw total energies: 0.26 eV per formula unit

a b c (Å): 4.2427 4.2427 4.2427
angles (deg): 60.00 60.00 60.00
Last column: nearest neighbours and their distance in Å.
Fractional positions:
1 P 0.0000 0.0000 0.0000  4 Ni 2.60
2 Te 0.5000 0.5000 0.5000  4 Ni 2.60
3 Ni 0.7500 0.7500 0.7500  4 Te 2.60, 4 P 2.60

Entry 5:
Computed, not measured: a geometry-optimized NiTe2P structure at the PBEsol level of DFT.

Computed properties:
* magnetization: 0.00 μB/atom
* V: 23.74 Å³ per atom
* density of states at the Fermi level: 3.2 states/eV/cell
* formation energy from raw total energies: 1.20 eV per formula unit

a b c (Å): 3.7457 3.7457 8.1096
angles (deg): 76.65 76.65 60.00
Last column: nearest neighbours and their distance in Å.
Fractional positions:
1 Te 0.8906 0.8906 0.3282  3 Ni 2.55, 1 P 2.56
2 Te 0.1094 0.1094 0.6718  3 Ni 2.55, 1 P 2.56
3 Ni 0.5000 0.5000 0.5000  6 Te 2.55
4 P 0.0000 0.0000 0.0000  2 Te 2.56

Entry 6:
Computed, not measured: a geometry-optimized NiTeP structure at the PBEsol level of DFT.

Computed properties:
* magnetization: 0.00 μB/atom
* V: 17.27 Å³ per atom
* distance to the lowest polymorph of the same formula: 36 meV per atom
* density of states at the Fermi level: 1.5 states/eV/cell
* formation energy from raw total energies: 0.37 eV per formula unit

a b c (Å): 3.1593 3.1593 5.6509
angles (deg): 106.23 106.23 90.00
Last column: nearest neighbours and their distance in Å.
Fractional positions:
1 Te 0.3471 0.3471 0.6942  1 P 2.69
2 Ni 0.0467 0.0467 0.0935  4 P 2.32
3 P 0.6061 0.6061 0.2123  4 Ni 2.32

Entry 7:
Computed, not measured: a geometry-optimized Ni2TeP structure at the PBEsol level of DFT.

Computed properties:
* magnetization: 0.00 μB/atom
* V: 14.53 Å³ per atom
* density of states at the Fermi level: 2.0 states/eV/cell
* formation energy from raw total energies: 0.30 eV per formula unit

a b c (Å): 2.9847 2.9847 6.5252
angles (deg): 90.00 90.00 90.00
Last column: nearest neighbours and their distance in Å.
Fractional positions:
1 P 0.5000 0.5000 0.0000  8 Ni 2.44
2 Ni 0.0000 0.0000 0.8116  4 P 2.44, 1 Ni 2.46
3 Te 0.5000 0.5000 0.5000  8 Ni 2.93, 4 Te 2.98, 2 P 3.26
4 Ni 0.0000 0.0000 0.1884  4 P 2.44, 1 Ni 2.46

Entry 8:
Computed, not measured: a geometry-optimized Ti2NiP5 structure at the PBEsol level of DFT.

Computed properties:
* magnetization: 0.00 μB/atom
* V: 13.96 Å³ per atom
* density of states at the Fermi level: 7.2 states/eV/cell
* energy of formation: -0.84 eV/atom

a b c (Å): 3.3076 10.9867 12.2945
angles (deg): 90.00 90.00 90.00
Last column: nearest neighbours and their distance in Å.
Fractional positions:
1 Ni 0.7500 0.1541 0.6730  5 P 2.14-2.29
2 P 0.7500 0.5628 0.9809  1 Ni 2.14, 3 P 2.18-2.21
3 P 0.2500 0.0726 0.7704  2 Ni 2.23, 4 Ti 2.48-2.49
4 P 0.7500 0.4321 0.5360  4 P 2.40-2.52, 4 Ti 2.47-2.58
5 P 0.2500 0.2817 0.6127  2 Ni 2.29, 2 P 2.52
6 P 0.2500 0.8231 0.6263  1 P 2.18
7 P 0.2500 0.5726 0.7296  2 Ni 2.23, 4 Ti 2.48-2.49
8 P 0.7500 0.9274 0.2296  2 Ni 2.23, 4 Ti 2.48-2.49
9 P 0.7500 0.0628 0.5191  1 Ni 2.14, 3 P 2.18-2.21
10 P 0.7500 0.7183 0.3873  2 Ni 2.29, 2 P 2.52
11 P 0.7500 0.2183 0.1127  2 Ni 2.29, 2 P 2.52
12 P 0.7500 0.1769 0.3737  1 P 2.18
13 P 0.7500 0.9321 0.9640  4 P 2.40-2.52, 4 Ti 2.47-2.58
14 P 0.2500 0.4372 0.0191  1 Ni 2.14, 3 P 2.18-2.21
15 Ni 0.2500 0.3459 0.1730  5 P 2.14-2.29
16 Ni 0.7500 0.6541 0.8270  5 P 2.14-2.29
17 P 0.2500 0.3231 0.8737  1 P 2.18
18 P 0.2500 0.9372 0.4809  1 Ni 2.14, 3 P 2.18-2.21
19 Ti 0.2500 0.5972 0.2650  7 P 2.47-2.60
20 P 0.7500 0.6769 0.1263  1 P 2.18
21 Ti 0.7500 0.9028 0.7650  7 P 2.47-2.60
22 P 0.2500 0.7817 0.8873  2 Ni 2.29, 2 P 2.52
23 Ni 0.2500 0.8459 0.3270  5 P 2.14-2.29
24 Ti 0.2500 0.3441 0.4014  8 P 2.48-2.69
25 Ti 0.2500 0.0972 0.2350  7 P 2.47-2.60
26 Ti 0.7500 0.4028 0.7350  7 P 2.47-2.60
27 P 0.2500 0.0679 0.0360  4 P 2.40-2.52, 4 Ti 2.47-2.58
28 Ti 0.7500 0.6559 0.5986  8 P 2.48-2.69
29 P 0.2500 0.5679 0.4640  4 P 2.40-2.52, 4 Ti 2.47-2.58
30 P 0.7500 0.4274 0.2704  2 Ni 2.23, 4 Ti 2.48-2.49
31 Ti 0.7500 0.1559 0.9014  8 P 2.48-2.69
32 Ti 0.2500 0.8441 0.0986  8 P 2.48-2.69